(1)
Compound: Mg2AlIn2
Source: the Alexandria database
Functional: PBE
Structure: relaxed

Energy relative to the elements: 97 meV/atom
ΔE to the lowest computed polymorph: 0 meV/atom
Symmetry: P4/mbm, No. 127

Lattice parameters (Å, degrees): 4.441 7.332 7.332 90.00 90.00 90.00
Atoms (fractional coordinates):
In 0.000 0.357 0.857
Mg 0.500 0.165 0.665
In 0.000 0.143 0.357
Mg 0.500 0.665 0.835
Mg 0.500 0.335 0.165
Al 0.000 0.000 0.000
In 0.000 0.857 0.643
Al 0.000 0.500 0.500
Mg 0.500 0.835 0.335
In 0.000 0.643 0.143


(2)
Compound: NaSm2PO6
Source: the Alexandria database
Functional: PBE
Structure: relaxed

Symmetry: P4mm, No. 99
Energy relative to the elements, uncorrected: -2617 meV per atom

Lattice parameters (Å, degrees): 4.655 5.259 5.259 90.00 90.00 90.00
Atoms (fractional coordinates):
O 0.712 0.216 0.784
Na 0.578 0.500 0.500
O 0.111 0.500 0.500
O 0.712 0.784 0.216
P 0.614 0.000 0.000
Sm 0.014 0.000 0.500
O 0.270 0.000 0.000
Sm 0.014 0.500 0.000
O 0.712 0.216 0.216
O 0.712 0.784 0.784


(3)
Compound: Li2Ga2Ag2Hg
Source: the Alexandria database
Functional: PBE
Structure: relaxed

Energy relative to the elements: -183 meV/atom
Symmetry: C2/m, No. 12

Lattice parameters (Å, degrees): 4.238 4.864 6.676 99.82 90.00 115.83
Atoms (fractional coordinates):
Ga 0.134 0.269 0.425
Li 0.703 0.406 0.149
Hg 0.000 0.000 0.000
Ga 0.866 0.731 0.575
Ag 0.410 0.821 0.291
Li 0.297 0.594 0.851
Ag 0.590 0.179 0.709